(1)
Computed, not measured: a relaxed Bi2P2H crystal at the PBEsol level of DFT.

```
10
Lattice="3.7214 0.0000 0.0000 0.0000 7.4643 0.0000 0.0000 0.0000 7.4643" Properties=species:S:1:pos:R:3 pbc="T T T"
P 0.0000 2.6406 6.3728
P 0.0000 6.3728 4.8238
P 0.0000 4.8238 1.0916
P 0.0000 1.0916 2.6406
Bi 1.8607 1.2025 4.9347
Bi 1.8607 4.9347 6.2618
Bi 1.8607 6.2618 2.5296
Bi 1.8607 2.5296 1.2025
H 0.0000 0.0000 0.0000
H 0.0000 3.7322 3.7322
```

Values from the calculation:
**Calculated density**: 7.70 g/cm3
**Space-group type**: P4/mbm, No. 127
**DOS(E_F)**: 4.5 states/eV/cell
**E**: -4.054 eV/atom
**Crystal system**: tetragonal


(2)
Computed, not measured: a relaxed Ba3Cu crystal at the PBEsol level of DFT.

```
4
Lattice="4.5298 0.0000 0.0000 2.2649 3.9229 0.0000 2.2649 1.3076 10.9254" Properties=species:S:1:pos:R:3 pbc="T T T"
Ba 2.2649 1.3076 1.7563
Ba 4.5298 2.6153 5.4627
Ba 6.7947 3.9229 9.1691
Cu 0.0000 0.0000 0.0000
```

Values from the calculation:
**Calculated density**: 4.07 g/cm3
**Space-group type**: R-3m, No. 166
**Energy of formation**: 37 kJ/mol of formula units
**DOS(E_F)**: 4.4 states/eV/cell
**E**: -2.600 eV/atom
**Crystal system**: trigonal


(3)
Computed, not measured: a relaxed K2MoRh crystal at the PBEsol level of DFT.

```
4
Lattice="2.7406 0.0000 0.0000 0.0000 5.2135 0.0000 0.0000 -2.6067 5.6779" Properties=species:S:1:pos:R:3 pbc="T T T"
K 0.0000 -1.3034 2.8390
K 0.0000 1.3034 2.8390
Mo 1.3703 0.0000 0.0000
Rh 1.3703 2.6067 0.0000
```

Values from the calculation:
**Calculated density**: 5.67 g/cm3
**Space-group type**: Cmmm, No. 65
**Energy of formation**: 479 kJ/mol of formula units
**DOS(E_F)**: 4.4 states/eV/cell
**E**: -4.303 eV/atom
**Crystal system**: orthorhombic
**Energy above the lowest structure with this stoichiometry**: 55 meV per atom


(4)
Computed, not measured: a relaxed Na2Si2Ru crystal at the PBEsol level of DFT.

```
10
Lattice="5.0266 0.0000 0.0000 0.0000 6.1056 0.0000 0.0000 0.0000 6.1056" Properties=species:S:1:pos:R:3 pbc="T T T"
Ru 0.0000 0.0000 0.0000
Ru 0.0000 3.0528 3.0528
Si 0.0000 2.1833 5.2361
Si 0.0000 5.2361 3.9223
Si 0.0000 3.9223 0.8695
Si 0.0000 0.8695 2.1833
Na 2.5133 1.1146 4.1675
Na 2.5133 4.1675 4.9910
Na 2.5133 4.9910 1.9382
Na 2.5133 1.9382 1.1146
```

Values from the calculation:
**Calculated density**: 3.60 g/cm3
**Space-group type**: P4/mbm, No. 127
**DOS(E_F)**: 5.6 states/eV/cell
**E**: -4.809 eV/atom
**Raw formation energy**: 0.084 eV/atom
**Crystal system**: tetragonal


Which of these has the highest DOS(E_F)?
Na2Si2Ru